# 1
Entry from the Alexandria database: NaPm2Zr after structural relaxation (PBE-GGA).

```
data_NaPm2Zr
_space_group_name_H-M_alt 'P 4/m m m'
_space_group_IT_number 123
_space_group_name_Hall '-P 4 2'
_cell_length_a 3.447
_cell_length_b 3.447
_cell_length_c 10.579
_cell_angle_alpha 90.00
_cell_angle_beta 90.00
_cell_angle_gamma 90.00
loop_
_atom_site_label
_atom_site_fract_x
_atom_site_fract_y
_atom_site_fract_z
_atom_site_occupancy
Na1 0.000 0.000 0.000 1
Pm1 0.500 0.500 0.282 1
Zr1 0.000 0.000 0.500 1
```

## Properties
energy relative to the lowest polymorph listed for this composition: 0 meV/atom
density of states at the Fermi level: 4.13 states/eV/cell



# 2
Entry from the Alexandria database: NaPmZr after structural relaxation (PBE-GGA).

```
data_NaPmZr
_space_group_name_H-M_alt 'P 4/n m m'
_space_group_IT_number 129
_cell_length_a 3.383
_cell_length_b 3.383
_cell_length_c 15.934
_cell_angle_alpha 90.00
_cell_angle_beta 90.00
_cell_angle_gamma 90.00
loop_
_space_group_symop_operation_xyz
'x,y,z'
'-x,-y,-z'
'-y+1/2,x,z'
'y+1/2,-x,-z'
'-x+1/2,-y+1/2,z'
'x+1/2,y+1/2,-z'
'y,-x+1/2,z'
'-y,x+1/2,-z'
'x+1/2,-y,-z'
'-x+1/2,y,z'
'-y,-x,-z'
'y,x,z'
'-x,y+1/2,-z'
'x,-y+1/2,z'
'y+1/2,x+1/2,-z'
'-y+1/2,-x+1/2,z'
loop_
_atom_site_label
_atom_site_fract_x
_atom_site_fract_y
_atom_site_fract_z
_atom_site_occupancy
Na1 0.250 0.250 0.094 1
Pm1 0.250 0.250 0.716 1
Zr1 0.250 0.250 0.433 1
```

## Properties
density of states at the Fermi level: 6.24 states/eV/cell



# 3
Entry from the Alexandria database: NaPm2Zr after structural relaxation (PBE-GGA).

```
data_NaPm2Zr
_space_group_name_H-M_alt 'R -3 m'
_space_group_IT_number 166
_space_group_name_Hall '-R 3 2"'
_cell_length_a 3.4442
_cell_length_b 3.4442
_cell_length_c 37.3364
_cell_angle_alpha 90.00
_cell_angle_beta 90.00
_cell_angle_gamma 120.00
loop_
_atom_site_label
_atom_site_fract_x
_atom_site_fract_y
_atom_site_fract_z
_atom_site_occupancy
Na1 0.0000 0.0000 0.0000 1
Pm1 0.0000 0.0000 0.0954 1
Zr1 0.0000 0.0000 0.5000 1
```

## Properties
energy relative to the lowest polymorph listed for this composition: 47 meV/atom
density of states at the Fermi level: 9.49 states/eV/cell



# 4
Entry from the Alexandria database: Na6Pr after structural relaxation (PBE-GGA).

```
data_Na6Pr
_space_group_name_H-M_alt 'I m -3 m'
_space_group_IT_number 229
_space_group_name_Hall '-I 4 2 3'
_cell_length_a 8.235
_cell_length_b 8.235
_cell_length_c 8.235
_cell_angle_alpha 90.00
_cell_angle_beta 90.00
_cell_angle_gamma 90.00
loop_
_atom_site_label
_atom_site_fract_x
_atom_site_fract_y
_atom_site_fract_z
_atom_site_occupancy
Na1 0.000 0.250 0.500 1
Pr1 0.000 0.000 0.000 1
```

## Properties
density of states at the Fermi level: 14.78 states/eV/cell



# 5
Entry from the Alexandria database: Na4Pr after structural relaxation (PBE-GGA).

```
data_Na4Pr
_space_group_name_H-M_alt 'P m -3 m'
_space_group_IT_number 221
_space_group_name_Hall '-P 4 2 3'
_cell_length_a 6.621
_cell_length_b 6.621
_cell_length_c 6.621
_cell_angle_alpha 90.00
_cell_angle_beta 90.00
_cell_angle_gamma 90.00
loop_
_atom_site_label
_atom_site_fract_x
_atom_site_fract_y
_atom_site_fract_z
_atom_site_occupancy
Na1 0.000 0.000 0.000 1
Na2 0.000 0.500 0.500 1
Pr1 0.500 0.500 0.500 1
```

## Properties
density of states at the Fermi level: 5.84 states/eV/cell



# 6
Entry from the Alexandria database: NaPr5 after structural relaxation (PBE-GGA).

```
data_NaPr5
_space_group_name_H-M_alt 'C m m m'
_space_group_IT_number 65
_space_group_name_Hall '-C 2 2'
_cell_length_a 6.037
_cell_length_b 18.408
_cell_length_c 3.848
_cell_angle_alpha 90.00
_cell_angle_beta 90.00
_cell_angle_gamma 90.00
loop_
_atom_site_label
_atom_site_fract_x
_atom_site_fract_y
_atom_site_fract_z
_atom_site_occupancy
Na1 0.000 0.000 0.000 1
Pr1 0.000 0.154 0.500 1
Pr2 0.000 0.322 0.000 1
Pr3 0.000 0.500 0.500 1
```

## Properties
density of states at the Fermi level: 20.18 states/eV/cell



# 7
Entry from the Alexandria database: NaPr3Pt8 after structural relaxation (PBE-GGA).

```
data_NaPr3Pt8
_space_group_name_H-M_alt 'R 3 m'
_space_group_IT_number 160
_space_group_name_Hall 'R 3 -2"'
_cell_length_a 5.5023
_cell_length_b 5.5023
_cell_length_c 26.9363
_cell_angle_alpha 90.00
_cell_angle_beta 90.00
_cell_angle_gamma 120.00
loop_
_atom_site_label
_atom_site_fract_x
_atom_site_fract_y
_atom_site_fract_z
_atom_site_occupancy
Na1 0.0000 0.0000 0.0000 1
Pr1 0.0000 0.0000 0.3661 1
Pr2 0.0000 0.0000 0.4946 1
Pr3 0.0000 0.0000 0.8786 1
Pt1 0.0000 0.0000 0.1843 1
Pt2 0.0000 0.0000 0.6840 1
Pt3 0.0011 0.5006 0.4347 1
Pt4 0.1682 0.3363 0.2672 1
```

## Properties
density of states at the Fermi level: 30.96 states/eV/cell



# 8
Entry from the Alexandria database: Na2PrPt9 after structural relaxation (PBE-GGA).

```
data_Na2PrPt9
_space_group_name_H-M_alt 'R -3 m'
_space_group_IT_number 166
_space_group_name_Hall '-R 3 2"'
_cell_length_a 5.3981
_cell_length_b 5.3981
_cell_length_c 26.4873
_cell_angle_alpha 90.00
_cell_angle_beta 90.00
_cell_angle_gamma 120.00
loop_
_atom_site_label
_atom_site_fract_x
_atom_site_fract_y
_atom_site_fract_z
_atom_site_occupancy
Na1 0.0000 0.0000 0.1451 1
Pr1 0.0000 0.0000 0.0000 1
Pt1 0.0000 0.0000 0.3328 1
Pt2 0.0000 0.0000 0.5000 1
Pt3 0.0025 0.5012 0.9155 1
```

## Properties
density of states at the Fermi level: 22.23 states/eV/cell



# 9
Entry from the Alexandria database: NaPr3Pt after structural relaxation (PBE-GGA).

```
data_NaPr3Pt
_space_group_name_H-M_alt 'P m -3 m'
_space_group_IT_number 221
_space_group_name_Hall '-P 4 2 3'
_cell_length_a 5.756
_cell_length_b 5.756
_cell_length_c 5.756
_cell_angle_alpha 90.00
_cell_angle_beta 90.00
_cell_angle_gamma 90.00
loop_
_atom_site_label
_atom_site_fract_x
_atom_site_fract_y
_atom_site_fract_z
_atom_site_occupancy
Na1 0.000 0.000 0.000 1
Pr1 0.000 0.500 0.500 1
Pt1 0.500 0.500 0.500 1
```

## Properties
density of states at the Fermi level: 6.71 states/eV/cell



# 10
Entry from the Alexandria database: NaPr2Sn3Pt4 after structural relaxation (PBE-GGA).

```
data_NaPr2Sn3Pt4
_space_group_name_H-M_alt 'P -4 m 2'
_space_group_IT_number 115
_cell_length_a 4.538
_cell_length_b 4.538
_cell_length_c 11.070
_cell_angle_alpha 90.00
_cell_angle_beta 90.00
_cell_angle_gamma 90.00
loop_
_space_group_symop_operation_xyz
'x,y,z'
'y,-x,-z'
'-x,-y,z'
'-y,x,-z'
'-x,y,z'
'-y,-x,-z'
'x,-y,z'
'y,x,-z'
loop_
_atom_site_label
_atom_site_fract_x
_atom_site_fract_y
_atom_site_fract_z
_atom_site_occupancy
Na1 0.000 0.000 0.000 1
Pr1 0.000 0.500 0.738 1
Sn1 0.000 0.500 0.372 1
Sn2 0.500 0.500 0.000 1
Pt1 0.000 0.000 0.500 1
Pt2 0.000 0.500 0.139 1
Pt3 0.500 0.500 0.500 1
```

## Properties
density of states at the Fermi level: 5.34 states/eV/cell



# 11
Entry from the Alexandria database: NaSrPrPt after structural relaxation (PBE-GGA).

```
data_NaSrPrPt
_space_group_name_H-M_alt 'P 4/n m m'
_space_group_IT_number 129
_cell_length_a 4.858
_cell_length_b 4.858
_cell_length_c 12.832
_cell_angle_alpha 90.00
_cell_angle_beta 90.00
_cell_angle_gamma 90.00
loop_
_space_group_symop_operation_xyz
'x,y,z'
'-x,-y,-z'
'-y+1/2,x,z'
'y+1/2,-x,-z'
'-x+1/2,-y+1/2,z'
'x+1/2,y+1/2,-z'
'y,-x+1/2,z'
'-y,x+1/2,-z'
'x+1/2,-y,-z'
'-x+1/2,y,z'
'-y,-x,-z'
'y,x,z'
'-x,y+1/2,-z'
'x,-y+1/2,z'
'y+1/2,x+1/2,-z'
'-y+1/2,-x+1/2,z'
loop_
_atom_site_label
_atom_site_fract_x
_atom_site_fract_y
_atom_site_fract_z
_atom_site_occupancy
Na1 0.250 0.750 0.000 1
Sr1 0.250 0.250 0.257 1
Pr1 0.250 0.750 0.500 1
Pt1 0.250 0.250 0.630 1
```

## Properties
density of states at the Fermi level: 4.93 states/eV/cell



# 12
Entry from the Alexandria database: NaPrTlPt after structural relaxation (PBE-GGA).

```
data_NaPrTlPt
_space_group_name_H-M_alt 'F -4 3 m'
_space_group_IT_number 216
_space_group_name_Hall 'F -4 2 3'
_cell_length_a 7.315
_cell_length_b 7.315
_cell_length_c 7.315
_cell_angle_alpha 90.00
_cell_angle_beta 90.00
_cell_angle_gamma 90.00
loop_
_atom_site_label
_atom_site_fract_x
_atom_site_fract_y
_atom_site_fract_z
_atom_site_occupancy
Na1 0.000 0.000 0.000 1
Pr1 0.000 0.000 0.500 1
Tl1 0.250 0.250 0.750 1
Pt1 0.250 0.250 0.250 1
```

## Properties
density of states at the Fermi level: 8.71 states/eV/cell



no.,energy of formation from the pure elements (kJ/mol of atoms)
1,12.0
2,9.5
3,16.5
4,48.7
5,77.0
6,13.8
7,-90.2
8,-49.8
9,-23.0
10,-71.7
11,-37.5
12,-36.4